1.
{
  "formula": "K2CrPt",
  "functional": "PBE",
  "state": "optimized geometry",
  "lattice": [[-6.883, 9.109, 1.211], [-8.896, 7.244, -0.472], [-8.724, 6.948, 2.729]],
  "species": ["K", "K", "Pt", "Cr"],
  "frac_coords": [[0.992, 0.992, 0.992], [0.508, 0.508, 0.508], [0.250, 0.250, 0.250], [0.750, 0.750, 0.750]],
  "ef_kj_per_mol_atoms": 77,
  "total_energy_ev_per_atom": -3.662
}

---

2.
{
  "formula": "PmPr2Tl3Te6",
  "functional": "PBE",
  "state": "optimized geometry",
  "lattice": [[7.934, -0.002, 0.001], [-3.967, 6.871, 0.001], [-1.322, -2.289, 8.178]],
  "species": ["Te", "Pm", "Te", "Te", "Tl", "Te", "Tl", "Te", "Pr", "Pr", "Tl", "Te"],
  "frac_coords": [[0.926, 0.596, 0.779], [0.000, 0.000, 0.000], [0.074, 0.404, 0.221], [0.596, 0.926, 0.779], [0.168, 0.832, 0.500], [0.744, 0.744, 0.222], [0.832, 0.168, 0.500], [0.404, 0.074, 0.221], [0.666, 0.334, 0.000], [0.334, 0.666, 0.000], [0.500, 0.500, 0.500], [0.256, 0.256, 0.778]],
  "total_energy_ev_per_atom": -4.432,
  "formation_energy_uncorrected_ev_per_fu": -12.9
}

---

3.
{
  "formula": "MnAlPbS4",
  "functional": "PBE",
  "state": "optimized geometry",
  "lattice": [[6.127, 0.000, -0.932], [0.000, 6.492, 0.000], [-3.556, 0.000, 8.428]],
  "species": ["S", "S", "S", "S", "Al", "S", "S", "Mn", "Al", "S", "Pb", "Mn", "Pb", "S"],
  "frac_coords": [[0.564, 0.750, 0.568], [0.206, 0.750, 0.089], [0.879, 0.515, 0.301], [0.436, 0.250, 0.432], [0.815, 0.250, 0.676], [0.121, 0.015, 0.699], [0.879, 0.985, 0.301], [0.106, 0.250, 0.497], [0.185, 0.750, 0.324], [0.794, 0.250, 0.911], [0.322, 0.250, 0.097], [0.894, 0.750, 0.503], [0.678, 0.750, 0.903], [0.121, 0.485, 0.699]],
  "total_energy_ev_per_atom": -5.368,
  "formation_energy_uncorrected_ev_per_fu": -4.4
}

---

4.
{
  "formula": "ZrReAg2",
  "functional": "PBE",
  "state": "optimized geometry",
  "lattice": [[-2.529, 3.258, 2.951], [-4.798, -1.573, 0.466], [4.409, -2.414, 0.666]],
  "species": ["Re", "Zr", "Ag", "Ag"],
  "frac_coords": [[0.500, 0.500, 0.000], [0.750, 0.250, 0.500], [0.250, 0.750, 0.500], [0.000, 0.000, 0.000]],
  "ef_kj_per_mol_atoms": 37,
  "total_energy_ev_per_atom": -6.290
}

---

5.
{
  "formula": "LaThAs2",
  "functional": "PBE",
  "state": "optimized geometry",
  "lattice": [[4.272, 0.000, 0.000], [-2.136, 3.699, 0.000], [0.000, 0.000, 14.316]],
  "species": ["As", "As", "Th", "Th", "La", "As", "La", "As"],
  "frac_coords": [[0.667, 0.333, 0.881], [0.333, 0.667, 0.119], [0.000, 0.000, 0.000], [0.000, 0.000, 0.500], [0.667, 0.333, 0.250], [0.667, 0.333, 0.619], [0.333, 0.667, 0.750], [0.333, 0.667, 0.381]],
  "ef_kj_per_mol_atoms": -142,
  "total_energy_ev_per_atom": -6.888
}

---

6.
{
  "formula": "ZrRe2Si",
  "functional": "PBE",
  "state": "optimized geometry",
  "lattice": [[-0.061, 2.747, -1.075], [-0.558, -1.066, -2.694], [-7.237, 0.368, 1.353]],
  "species": ["Zr", "Re", "Si", "Re"],
  "frac_coords": [[0.500, 0.500, 0.736], [0.000, 0.000, 0.036], [0.000, 0.000, 0.462], [0.500, 0.500, 0.265]],
  "total_energy_ev_per_atom": -9.916,
  "formation_energy_uncorrected_ev_per_fu": -0.8
}